Material: HoInGe2
Method: DFT, PBE
State: optimized geometry

**Uncorrected energy**: -3.92 eV per atom
**Symmetry**: R-3m
**Energy relative to the elements**: 4.91 kcal/mol of atoms
**ΔE to the lowest computed polymorph**: 604.3 meV/atom

Lattice parameters (Å, degrees): 4.661 4.661 7.783 72.57 72.57 60.00
Sites, in units of the cell vectors:
Ho (0.500, 0.500, 0.500)
Ge (0.120, 0.120, 0.641)
In (0.000, 0.000, 0.000)
Ge (0.880, 0.880, 0.359)